First-principles (PBE-GGA) data for Ca2SiRh after structural relaxation, as listed in the Alexandria database.

Cell: 3.471 3.823 6.349 Å, 90.00 90.00 90.00°
Fractional coordinates of all 4 atoms:
1 Ca 0.000 0.000 0.244
2 Ca 0.000 0.000 0.756
3 Si 0.500 0.500 0.500
4 Rh 0.500 0.500 0.000

Output
V (Å³/cell): 84.3
Size of the total moment (μB per atom): 0.000
E_tot (eV per atom): -4.474
Formation energy without anion corrections (eV per formula unit): -1.1

First-principles (PBE-GGA) data for CaSiRh2 after structural relaxation, as listed in the Alexandria database.

Cell: 5.590 5.590 5.590 Å, 147.62 134.98 56.54°
Fractional coordinates of all 4 atoms:
1 Ca 0.000 0.000 0.000
2 Si 0.269 0.769 0.500
3 Rh 0.452 0.452 0.000
4 Rh 0.724 0.224 0.500

Output
V (Å³/cell): 65.7
Size of the total moment (μB per atom): 0.000
E_tot (eV per atom): -5.964
Formation energy without anion corrections (eV per formula unit): -1.7

Please write out number 2 again, unchanged.
First-principles (PBE-GGA) data for CaSiRh2 after structural relaxation, as listed in the Alexandria database.

Cell: 5.590 5.590 5.590 Å, 147.62 134.98 56.54°
Fractional coordinates of all 4 atoms:
1 Ca 0.000 0.000 0.000
2 Si 0.269 0.769 0.500
3 Rh 0.452 0.452 0.000
4 Rh 0.724 0.224 0.500

Output
V (Å³/cell): 65.7
Size of the total moment (μB per atom): 0.000
E_tot (eV per atom): -5.964
Formation energy without anion corrections (eV per formula unit): -1.7

- Which value of formation energy without anion corrections does entry 1 give?
  -1.1 eV per formula unit

- Which of these has the highest V?
  Ca2SiRh